Entry from Alexandria via LeMat-Bulk: a geometry-optimized FeGe structure (GGA-PBE).

```
FeGe
1.0
11.0456 0.0000 0.0000
0.0000 2.8961 0.0000
-1.1787 0.0000 3.4191
Fe Ge
4 4
Cartesian
0.0000 0.0000 0.0000 Fe
2.2070 1.4480 0.7614 Fe
5.5228 1.4480 0.0000 Fe
7.7298 0.0000 0.7614 Fe
1.0127 0.0000 2.2622 Ge
4.0671 0.0000 1.4106 Ge
6.5355 1.4480 2.2622 Ge
9.5899 1.4480 1.4106 Ge
```

Computed properties:
**Space-group type**: Cm, No. 8
**Energy of formation**: 0.04 eV/atom
**Total magnetization**: 0.7283 μB/atom
**E**: -6.50 eV per atom

=====

Entry from Alexandria via LeMat-Bulk: a geometry-optimized FeGe structure (GGA-PBE).

```
FeGe
1.0
2.8005 0.0000 0.0000
0.0000 4.6065 0.0000
0.0000 0.0000 4.0891
Fe Ge
2 2
Cartesian
0.7001 1.1516 0.4401 Fe
2.1004 3.4549 3.6491 Fe
0.7001 3.4549 1.5761 Ge
2.1004 1.1516 2.5130 Ge
```

Computed properties:
**Space-group type**: Pmmn, No. 59
**Energy of formation**: 0.07 eV/atom
**Total magnetization**: 0.7692 μB/atom
**E**: -6.47 eV per atom

=====

Entry from Alexandria via LeMat-Bulk: a geometry-optimized FeGe structure (GGA-PBE).

```
FeGe
1.0
2.9758 0.0000 0.0000
0.0000 2.9758 0.0000
0.0000 0.0000 13.1461
Fe Ge
4 4
Cartesian
0.0000 0.0000 2.6017 Fe
0.0000 0.0000 10.5444 Fe
1.4879 1.4879 3.9714 Fe
1.4879 1.4879 9.1747 Fe
0.0000 0.0000 5.3060 Ge
0.0000 0.0000 7.8401 Ge
1.4879 1.4879 1.2671 Ge
1.4879 1.4879 11.8790 Ge
```

Computed properties:
**Space-group type**: I4/mmm, No. 139
**Energy of formation**: -0.03 eV/atom
**Total magnetization**: 1.0327 μB/atom
**E**: -6.57 eV per atom

=====

Entry from Alexandria via LeMat-Bulk: a geometry-optimized FeGe4 structure (GGA-PBE).

```
FeGe4
1.0
4.5702 0.0000 0.0000
0.0000 4.5702 0.0000
0.0000 0.0000 4.5702
Fe Ge
1 4
Cartesian
0.0000 0.0000 0.0000 Fe
0.0000 0.0000 2.2851 Ge
0.0000 2.2851 0.0000 Ge
2.2851 0.0000 0.0000 Ge
2.2851 2.2851 2.2851 Ge
```

Computed properties:
**Space-group type**: Pm-3m, No. 221
**Energy of formation**: 0.35 eV/atom
**Total magnetization**: 0.0026 μB/atom
**E**: -5.04 eV per atom

=====

Entry from Alexandria via LeMat-Bulk: a geometry-optimized FeGe structure (GGA-PBE).

```
FeGe
1.0
7.5173 0.0000 0.0000
-3.7587 6.5102 0.0000
0.0000 0.0000 4.0231
Fe Ge
6 6
Cartesian
-1.2477 3.6198 1.0058 Fe
1.2477 3.6198 1.0058 Fe
0.0000 5.7808 1.0058 Fe
3.7587 0.7294 3.0173 Fe
2.5110 2.8904 3.0173 Fe
5.0063 2.8904 3.0173 Fe
0.0000 2.6660 3.0173 Ge
-1.4498 5.1772 3.0173 Ge
2.3088 1.3330 1.0058 Ge
1.4498 5.1772 3.0173 Ge
5.2085 1.3330 1.0058 Ge
3.7587 3.8442 1.0058 Ge
```

Computed properties:
**Space-group type**: P6_3/mmc, No. 194
**Energy of formation**: 0.08 eV/atom
**Total magnetization**: 1.0074 μB/atom
**E**: -6.46 eV per atom

=====

Entry from Alexandria via LeMat-Bulk: a geometry-optimized FeGe structure (GGA-PBE).

```
FeGe
1.0
4.8439 0.0000 0.0000
0.0000 4.8439 0.0000
0.0000 0.0000 4.9987
Fe Ge
4 4
Cartesian
0.9522 0.9522 0.0000 Fe
1.4697 3.3742 2.4994 Fe
3.3742 1.4697 2.4994 Fe
3.8917 3.8917 0.0000 Fe
0.9697 0.9697 2.4994 Ge
1.4522 3.3917 0.0000 Ge
3.3917 1.4522 0.0000 Ge
3.8742 3.8742 2.4994 Ge
```

Computed properties:
**Space-group type**: P4_2/mnm, No. 136
**Energy of formation**: 0.32 eV/atom
**Total magnetization**: 0.9862 μB/atom
**E**: -6.22 eV per atom

=====

Entry from Alexandria via LeMat-Bulk: a geometry-optimized FeGe structure (GGA-PBE).

```
FeGe
1.0
2.8924 0.0000 0.0000
-1.4462 2.5049 0.0000
0.0000 0.0000 3.5764
Fe Ge
1 1
Cartesian
0.0000 0.0000 0.0000 Fe
1.4462 0.8349 1.7882 Ge
```

Computed properties:
**Space-group type**: P-6m2, No. 187
**Energy of formation**: 0.01 eV/atom
**Total magnetization**: 0.5060 μB/atom
**E**: -6.53 eV per atom

=====

Entry from Alexandria via LeMat-Bulk: a geometry-optimized FeGe structure (GGA-PBE).

```
FeGe
1.0
11.8605 0.0000 0.0000
0.0000 3.9177 0.0000
-1.1881 0.0000 4.7435
Fe Ge
8 8
Cartesian
0.0000 0.0000 0.0000 Fe
-0.5940 0.0000 2.3717 Fe
1.9989 0.0000 1.6986 Fe
2.7433 1.9588 3.0449 Fe
5.9302 1.9588 0.0000 Fe
5.3362 1.9588 2.3717 Fe
7.9291 1.9588 1.6986 Fe
8.6735 0.0000 3.0449 Fe
0.4720 1.9588 1.4238 Ge
1.1879 0.0000 3.9970 Ge
3.5543 1.9588 0.7464 Ge
4.2701 0.0000 3.3196 Ge
6.4023 0.0000 1.4238 Ge
7.1181 1.9588 3.9970 Ge
9.4845 0.0000 0.7464 Ge
10.2003 1.9588 3.3196 Ge
```

Computed properties:
**Space-group type**: C2/m, No. 12
**Energy of formation**: -0.10 eV/atom
**Total magnetization**: 0.7204 μB/atom
**E**: -6.64 eV per atom

=====

Entry from Alexandria via LeMat-Bulk: a geometry-optimized FeGe structure (GGA-PBE).

```
FeGe
1.0
2.8339 0.0000 0.0000
-1.4170 2.4543 0.0000
0.0000 0.0000 11.2824
Fe Ge
3 3
Cartesian
0.0000 0.0000 0.0000 Fe
0.0000 1.6362 7.5216 Fe
1.4170 0.8181 3.7608 Fe
0.0000 0.0000 5.6412 Ge
0.0000 1.6362 1.8804 Ge
1.4170 0.8181 9.4020 Ge
```

Computed properties:
**Space-group type**: R-3m, No. 166
**Energy of formation**: 0.11 eV/atom
**Total magnetization**: 0.6868 μB/atom
**E**: -6.43 eV per atom

=====

Entry from Alexandria via LeMat-Bulk: a geometry-optimized FeGe structure (GGA-PBE).

```
FeGe
1.0
4.9599 0.0000 0.0000
-2.4800 4.2954 0.0000
0.0000 0.0000 4.0387
Fe Ge
3 3
Cartesian
-1.2400 2.1477 0.0000 Fe
2.4800 0.0000 0.0000 Fe
1.2400 2.1477 0.0000 Fe
0.0000 0.0000 0.0000 Ge
0.0000 2.8636 2.0193 Ge
2.4800 1.4318 2.0193 Ge
```

Computed properties:
**Space-group type**: P6/mmm, No. 191
**Energy of formation**: -0.13 eV/atom
**Total magnetization**: 0.6682 μB/atom
**E**: -6.67 eV per atom